Record 1
## Tb2TlTc (PBE)

Data for Tb2TlTc after structural relaxation.

```
Tb2TlTc
1.0
3.538 0.000 0.000
0.000 3.538 0.000
0.000 0.000 7.787
Tb Tl Tc
2 1 1
Direct
0.000 0.000 0.209
0.000 0.000 0.791
0.500 0.500 0.500
0.500 0.500 0.000
```

VASP energy   -5.66 eV per atom
Size of the total moment   0.0 μB/cell

Record 2
## Tb6Tl2Tc (PBE)

Data for Tb6Tl2Tc after structural relaxation.

```
Tb6Tl2Tc
1.0
8.629 0.000 0.000
-4.315 7.473 0.000
0.000 0.000 3.924
Tb Tl Tc
6 2 1
Direct
0.000 0.387 0.000
0.000 0.759 0.500
0.241 0.241 0.500
0.387 0.000 0.000
0.613 0.613 0.000
0.759 0.000 0.500
0.333 0.667 0.500
0.667 0.333 0.500
0.000 0.000 0.000
```

VASP energy   -4.99 eV per atom
Size of the total moment   0.0 μB/cell

Record 3
## Tb6Tl3Tc (PBE)

Data for Tb6Tl3Tc after structural relaxation.

```
Tb6Tl3Tc
1.0
5.787 -3.548 0.000
5.787 3.548 0.000
-1.567 0.000 7.286
Tb Tl Tc
6 3 1
Direct
0.130 0.644 0.653
0.340 0.340 0.152
0.356 0.870 0.347
0.644 0.130 0.653
0.660 0.660 0.848
0.870 0.356 0.347
0.000 0.000 0.000
0.172 0.172 0.734
0.828 0.828 0.266
0.500 0.500 0.500
```

VASP energy   -4.60 eV per atom
Size of the total moment   0.0 μB/cell

Record 4
## Tb2TmTc (PBE)

Data for Tb2TmTc after structural relaxation.

```
Tb2TmTc
1.0
1.707 0.986 10.848
-1.707 0.986 10.848
0.000 -1.971 10.848
Tb Tm Tc
2 1 1
Direct
0.104 0.104 0.104
0.896 0.896 0.896
0.000 0.000 0.000
0.500 0.500 0.500
```

VASP energy   -5.73 eV per atom
Size of the total moment   0.0 μB/cell
ΔE to the lowest computed polymorph   0.398 eV per atom

Record 5
## Tb2Tm3Tc2 (PBE)

Data for Tb2Tm3Tc2 after structural relaxation.

```
Tb2Tm3Tc2
1.0
5.840 -1.970 0.000
5.840 1.970 0.000
-3.187 0.000 7.715
Tb Tm Tc
2 3 2
Direct
0.162 0.162 0.312
0.838 0.838 0.688
0.374 0.374 0.070
0.500 0.500 0.500
0.626 0.626 0.930
0.171 0.171 0.713
0.829 0.829 0.287
```

VASP energy   -6.29 eV per atom
Size of the total moment   0.0 μB/cell

Record 6
## TbTmTc4 (PBE)

Data for TbTmTc4 after structural relaxation.

```
TbTmTc4
1.0
0.000 3.814 3.814
3.814 0.000 3.814
3.814 3.814 0.000
Tb Tm Tc
1 1 4
Direct
0.000 0.000 0.000
0.250 0.250 0.250
0.125 0.625 0.625
0.625 0.125 0.625
0.625 0.625 0.125
0.625 0.625 0.625
```

VASP energy   -8.59 eV per atom
Size of the total moment   0.0 μB/cell

Record 7
## TbTm4Tc (PBE)

Data for TbTm4Tc after structural relaxation.

```
TbTm4Tc
1.0
8.681 0.000 0.000
0.000 3.680 0.000
0.000 0.000 20.262
Tb Tm Tc
4 16 4
Direct
0.226 0.250 0.188
0.274 0.750 0.688
0.726 0.250 0.312
0.774 0.750 0.812
0.011 0.750 0.566
0.038 0.750 0.294
0.130 0.750 0.045
0.149 0.750 0.857
0.351 0.250 0.357
0.370 0.250 0.545
0.462 0.250 0.794
0.489 0.250 0.066
0.511 0.750 0.934
0.538 0.750 0.206
0.630 0.750 0.455
0.649 0.750 0.643
0.851 0.250 0.143
0.870 0.250 0.955
0.962 0.250 0.706
0.989 0.250 0.434
0.240 0.750 0.455
0.260 0.250 0.955
0.740 0.750 0.045
0.760 0.250 0.545
```

VASP energy   -5.52 eV per atom
Size of the total moment   0.0 μB/cell

Record 8
## Tb2TmTc (PBE)

Data for Tb2TmTc after structural relaxation.

```
Tb2TmTc
1.0
3.470 0.000 0.000
0.000 3.470 0.000
0.000 0.000 8.737
Tb Tm Tc
2 1 1
Direct
0.000 0.000 0.189
0.000 0.000 0.811
0.500 0.500 0.500
0.500 0.500 0.000
```

VASP energy   -5.97 eV per atom
Size of the total moment   0.0 μB/cell
ΔE to the lowest computed polymorph   0.152 eV per atom